(1)
A plane-wave DFT calculation with PBE was carried out for an optimized crystal structure of Th4CdOs.

Calculated values
D(E_F): 35.7 states/eV/cell
Formation enthalpy at 0 K: -0.18 eV per atom
ΔE to the lowest computed polymorph: 0 meV per atom
Theoretical density: 11.86 g/cm³
Symmetry: F-43m, No. 216

Lattice parameters (Å, degrees): 9.9164 9.9164 9.9164 60.00 60.00 60.00
Last column: nearest neighbours and their distance in Å.
Fractional coordinates of all 24 atoms:
Th (0.1835, 0.1835, 0.8165)  2 Cd 3.42, 2 Os 3.63, 10 Th 3.63-3.71
Th (0.1835, 0.8165, 0.1835)  2 Cd 3.42, 2 Os 3.63, 10 Th 3.63-3.71
Th (0.1835, 0.8165, 0.8165)  2 Cd 3.42, 2 Os 3.63, 10 Th 3.63-3.71
Th (0.4034, 0.4034, 0.4034)  3 Os 2.92
Th (0.4034, 0.4034, 0.7898)  3 Os 2.92
Th (0.4034, 0.7898, 0.4034)  3 Os 2.92
Th (0.5544, 0.5544, 0.9456)  2 Os 2.88
Th (0.5544, 0.9456, 0.5544)  2 Os 2.88
Th (0.5544, 0.9456, 0.9456)  2 Os 2.88
Th (0.7898, 0.4034, 0.4034)  3 Os 2.92
Th (0.8165, 0.1835, 0.1835)  2 Cd 3.42, 2 Os 3.63, 10 Th 3.63-3.71
Th (0.8165, 0.1835, 0.8165)  2 Cd 3.42, 2 Os 3.63, 10 Th 3.63-3.71
Th (0.8165, 0.8165, 0.1835)  2 Cd 3.42, 2 Os 3.63, 10 Th 3.63-3.71
Th (0.9456, 0.5544, 0.5544)  2 Os 2.88
Th (0.9456, 0.5544, 0.9456)  2 Os 2.88
Th (0.9456, 0.9456, 0.5544)  2 Os 2.88
Cd (0.1721, 0.1721, 0.1721)  3 Cd 3.09, 3 Th 3.42
Cd (0.1721, 0.1721, 0.4837)  3 Cd 3.09, 3 Th 3.42
Cd (0.1721, 0.4837, 0.1721)  3 Cd 3.09, 3 Th 3.42
Cd (0.4837, 0.1721, 0.1721)  3 Cd 3.09, 3 Th 3.42
Os (0.1688, 0.6104, 0.6104)  6 Th 2.88-2.92
Os (0.6104, 0.1688, 0.6104)  6 Th 2.88-2.92
Os (0.6104, 0.6104, 0.1688)  6 Th 2.88-2.92
Os (0.6104, 0.6104, 0.6104)  6 Th 2.88-2.92

***

(2)
A plane-wave DFT calculation with PBE was carried out for an optimized crystal structure of Th4CdOs.

Calculated values
D(E_F): 13.5 states/eV/cell
Formation enthalpy at 0 K: 0.04 eV per atom
ΔE to the lowest computed polymorph: 222 meV per atom
Theoretical density: 10.61 g/cm³
Symmetry: C2/c, No. 15

Lattice parameters (Å, degrees): 8.7559 8.7559 6.6835 104.62 104.62 119.63
Last column: nearest neighbours and their distance in Å.
Fractional coordinates of all 12 atoms:
Th (0.0503, 0.6104, 0.8353)  1 Os 2.78
Th (0.1666, 0.2705, 0.7246)  2 Os 2.80-2.87
Th (0.2705, 0.1666, 0.2246)  2 Os 2.80-2.87
Th (0.3896, 0.9497, 0.6647)  1 Os 2.78
Th (0.6104, 0.0503, 0.3353)  1 Os 2.78
Th (0.7295, 0.8334, 0.7754)  2 Os 2.80-2.87
Th (0.8334, 0.7295, 0.2754)  2 Os 2.80-2.87
Th (0.9497, 0.3896, 0.1647)  1 Os 2.78
Cd (0.3932, 0.6068, 0.2500)  6 Th 3.17-3.39
Cd (0.6068, 0.3932, 0.7500)  6 Th 3.17-3.39
Os (0.0830, 0.9170, 0.7500)  6 Th 2.78-2.87
Os (0.9170, 0.0830, 0.2500)  6 Th 2.78-2.87

***

(3)
A plane-wave DFT calculation with PBE was carried out for an optimized crystal structure of ThCdOs.

Calculated values
D(E_F): 6.0 states/eV/cell
Formation enthalpy at 0 K: -0.15 eV per atom
Theoretical density: 12.85 g/cm³
Symmetry: C2/m, No. 12

Lattice parameters (Å, degrees): 9.9909 3.9088 8.0782 90.00 118.83 90.00
Last column: nearest neighbours and their distance in Å.
Fractional coordinates of all 12 atoms:
Th (0.0737, 0.0000, 0.3380)  5 Os 2.80-3.06
Th (0.4263, 0.5000, 0.6620)  5 Os 2.80-3.06
Th (0.5737, 0.5000, 0.3380)  5 Os 2.80-3.06
Th (0.9263, 0.0000, 0.6620)  5 Os 2.80-3.06
Cd (0.1666, 0.5000, 0.0541)  3 Os 2.90-3.07, 3 Cd 2.96-3.01
Cd (0.3334, 0.0000, 0.9459)  3 Os 2.90-3.07, 3 Cd 2.96-3.01
Cd (0.6666, 0.0000, 0.0541)  3 Os 2.90-3.07, 3 Cd 2.96-3.01
Cd (0.8334, 0.5000, 0.9459)  3 Os 2.90-3.07, 3 Cd 2.96-3.01
Os (0.1466, 0.5000, 0.6628)  5 Th 2.80-3.06, 1 Os 2.84, 3 Cd 2.90-3.07
Os (0.3534, 0.0000, 0.3372)  5 Th 2.80-3.06, 1 Os 2.84, 3 Cd 2.90-3.07
Os (0.6466, 0.0000, 0.6628)  5 Th 2.80-3.06, 1 Os 2.84, 3 Cd 2.90-3.07
Os (0.8534, 0.5000, 0.3372)  5 Th 2.80-3.06, 1 Os 2.84, 3 Cd 2.90-3.07

***

(4)
A plane-wave DFT calculation with PBE was carried out for an optimized crystal structure of Th3Cd3Os.

Calculated values
D(E_F): 20.3 states/eV/cell
Formation enthalpy at 0 K: -0.25 eV per atom
Theoretical density: 10.56 g/cm³
Symmetry: Fd-3m, No. 227

Lattice parameters (Å, degrees): 10.2878 10.2878 10.2878 60.00 60.00 60.00
Last column: nearest neighbours and their distance in Å.
Fractional coordinates of all 28 atoms:
Th (0.0789, 0.0789, 0.6711)  2 Os 2.82
Th (0.0789, 0.6711, 0.0789)  2 Os 2.82
Th (0.0789, 0.6711, 0.6711)  2 Os 2.82
Th (0.3289, 0.3289, 0.9211)  2 Os 2.82
Th (0.3289, 0.9211, 0.3289)  2 Os 2.82
Th (0.3289, 0.9211, 0.9211)  2 Os 2.82
Th (0.6711, 0.0789, 0.0789)  2 Os 2.82
Th (0.6711, 0.0789, 0.6711)  2 Os 2.82
Th (0.6711, 0.6711, 0.0789)  2 Os 2.82
Th (0.9211, 0.3289, 0.3289)  2 Os 2.82
Th (0.9211, 0.3289, 0.9211)  2 Os 2.82
Th (0.9211, 0.9211, 0.3289)  2 Os 2.82
Cd (0.0000, 0.5000, 0.5000)  6 Cd 3.13
Cd (0.2947, 0.2947, 0.2947)  6 Cd 3.13-3.31
Cd (0.2947, 0.2947, 0.6160)  6 Cd 3.13-3.31
Cd (0.2947, 0.6160, 0.2947)  6 Cd 3.13-3.31
Cd (0.3840, 0.7053, 0.7053)  6 Cd 3.13-3.31
Cd (0.5000, 0.0000, 0.5000)  6 Cd 3.13
Cd (0.5000, 0.5000, 0.0000)  6 Cd 3.13
Cd (0.5000, 0.5000, 0.5000)  6 Cd 3.13
Cd (0.6160, 0.2947, 0.2947)  6 Cd 3.13-3.31
Cd (0.7053, 0.3840, 0.7053)  6 Cd 3.13-3.31
Cd (0.7053, 0.7053, 0.3840)  6 Cd 3.13-3.31
Cd (0.7053, 0.7053, 0.7053)  6 Cd 3.13-3.31
Os (0.0000, 0.0000, 0.0000)  6 Th 2.82
Os (0.0000, 0.0000, 0.5000)  6 Th 2.82
Os (0.0000, 0.5000, 0.0000)  6 Th 2.82
Os (0.5000, 0.0000, 0.0000)  6 Th 2.82

***

(5)
A plane-wave DFT calculation with PBE was carried out for an optimized crystal structure of Th3CdOs.

Calculated values
D(E_F): 9.9 states/eV/cell
Formation enthalpy at 0 K: -0.16 eV per atom
Theoretical density: 11.52 g/cm³
Symmetry: C2/m, No. 12

Lattice parameters (Å, degrees): 6.5839 6.5839 9.2088 108.58 108.58 50.39
Last column: nearest neighbours and their distance in Å.
Fractional coordinates of all 10 atoms:
Th (0.1336, 0.1336, 0.2653)  2 Os 2.81-2.91
Th (0.1413, 0.1413, 0.6456)  1 Os 2.87
Th (0.3664, 0.3664, 0.0676)  3 Os 2.82-2.91
Th (0.6336, 0.6336, 0.9324)  3 Os 2.82-2.91
Th (0.8587, 0.8587, 0.3544)  1 Os 2.87
Th (0.8664, 0.8664, 0.7347)  2 Os 2.81-2.91
Cd (0.4064, 0.4064, 0.5660)  1 Cd 2.89
Cd (0.5936, 0.5936, 0.4340)  1 Cd 2.89
Os (0.1058, 0.1058, 0.9379)  6 Th 2.81-2.91, 1 Os 3.11
Os (0.8942, 0.8942, 0.0621)  6 Th 2.81-2.91, 1 Os 3.11

***

(6)
A plane-wave DFT calculation with PBE was carried out for an optimized crystal structure of ThCdOs.

Calculated values
D(E_F): 7.1 states/eV/cell
Formation enthalpy at 0 K: -0.24 eV per atom
Theoretical density: 12.53 g/cm³
Symmetry: Cmcm, No. 63

Lattice parameters (Å, degrees): 3.9327 17.9302 4.0201 90.00 90.00 90.00
Last column: nearest neighbours and their distance in Å.
Fractional coordinates of all 12 atoms:
Th (0.0000, 0.0920, 0.2500)  4 Os 2.90
Th (0.0000, 0.9080, 0.7500)  4 Os 2.90
Th (0.5000, 0.4080, 0.7500)  4 Os 2.90
Th (0.5000, 0.5920, 0.2500)  4 Os 2.90
Cd (0.0000, 0.2884, 0.2500)  1 Os 2.85, 4 Cd 3.13
Cd (0.0000, 0.7116, 0.7500)  1 Os 2.85, 4 Cd 3.13
Cd (0.5000, 0.2116, 0.7500)  1 Os 2.85, 4 Cd 3.13
Cd (0.5000, 0.7884, 0.2500)  1 Os 2.85, 4 Cd 3.13
Os (0.0000, 0.4476, 0.2500)  2 Os 2.75, 1 Cd 2.85, 4 Th 2.90
Os (0.0000, 0.5524, 0.7500)  2 Os 2.75, 1 Cd 2.85, 4 Th 2.90
Os (0.5000, 0.0524, 0.7500)  2 Os 2.75, 1 Cd 2.85, 4 Th 2.90
Os (0.5000, 0.9476, 0.2500)  2 Os 2.75, 1 Cd 2.85, 4 Th 2.90

***

(7)
A plane-wave DFT calculation with PBE was carried out for an optimized crystal structure of Th2TlCdOs.

Calculated values
D(E_F): 6.1 states/eV/cell
Formation enthalpy at 0 K: -0.11 eV per atom
Theoretical density: 10.77 g/cm³
Symmetry: P2_1/m, No. 11

Lattice parameters (Å, degrees): 8.6449 4.1301 8.6690 90.00 104.58 90.00
Last column: nearest neighbours and their distance in Å.
Fractional coordinates of all 10 atoms:
Th (0.0158, 0.2500, 0.3164)  3 Os 2.81-2.96
Th (0.3933, 0.7500, 0.6283)  2 Os 2.73
Th (0.6067, 0.2500, 0.3717)  2 Os 2.73
Th (0.9842, 0.7500, 0.6836)  3 Os 2.81-2.96
Tl (0.3372, 0.2500, 0.9805)  1 Os 2.78, 2 Cd 3.02
Tl (0.6628, 0.7500, 0.0195)  1 Os 2.78, 2 Cd 3.02
Cd (0.2915, 0.7500, 0.2198)  2 Tl 3.02
Cd (0.7085, 0.2500, 0.7802)  2 Tl 3.02
Os (0.1954, 0.2500, 0.6552)  5 Th 2.73-2.96, 1 Tl 2.78
Os (0.8046, 0.7500, 0.3448)  5 Th 2.73-2.96, 1 Tl 2.78

***

(8)
A plane-wave DFT calculation with PBE was carried out for an optimized crystal structure of YThCdOs.

Calculated values
D(E_F): 9.8 states/eV/cell
Formation enthalpy at 0 K: -0.14 eV per atom
Theoretical density: 10.80 g/cm³
Symmetry: F-43m, No. 216

Lattice parameters (Å, degrees): 7.2646 7.2646 7.2646 90.00 90.00 90.00
Last column: nearest neighbours and their distance in Å.
Fractional coordinates of all 16 atoms:
Y (0.0000, 0.0000, 0.0000)  4 Cd 3.15, 4 Os 3.15
Y (0.0000, 0.5000, 0.5000)  4 Cd 3.15, 4 Os 3.15
Y (0.5000, 0.0000, 0.5000)  4 Cd 3.15, 4 Os 3.15
Y (0.5000, 0.5000, 0.0000)  4 Cd 3.15, 4 Os 3.15
Th (0.0000, 0.0000, 0.5000)  4 Cd 3.15, 4 Os 3.15
Th (0.0000, 0.5000, 0.0000)  4 Cd 3.15, 4 Os 3.15
Th (0.5000, 0.0000, 0.0000)  4 Cd 3.15, 4 Os 3.15
Th (0.5000, 0.5000, 0.5000)  4 Cd 3.15, 4 Os 3.15
Cd (0.2500, 0.2500, 0.2500)  4 Th 3.15, 4 Y 3.15
Cd (0.2500, 0.7500, 0.7500)  4 Th 3.15, 4 Y 3.15
Cd (0.7500, 0.2500, 0.7500)  4 Th 3.15, 4 Y 3.15
Cd (0.7500, 0.7500, 0.2500)  4 Th 3.15, 4 Y 3.15
Os (0.2500, 0.2500, 0.7500)  4 Th 3.15, 4 Y 3.15
Os (0.2500, 0.7500, 0.2500)  4 Th 3.15, 4 Y 3.15
Os (0.7500, 0.2500, 0.2500)  4 Th 3.15, 4 Y 3.15
Os (0.7500, 0.7500, 0.7500)  4 Th 3.15, 4 Y 3.15

***

Here are the calculated total magnetization numbers, same order: 0.00; 0.00; 0.00; 0.00; 0.00; 0.00; 0.00; 0.00 (μB per formula unit).